A plane-wave DFT calculation with PBE-GGA was carried out for a relaxed Tm6Zn5Ge crystal.

```
12
Lattice="4.972 0.000 0.000 0.000 6.977 0.000 -2.479 0.000 7.503" Properties=species:S:1:pos:R:3 pbc="T T T"
Tm 0.000 1.721 0.000
Tm 0.000 5.256 0.000
Tm 0.005 1.751 5.016
Tm 0.005 5.226 5.016
Tm 2.488 1.751 2.487
Tm 2.488 5.226 2.487
Zn 0.002 3.489 2.497
Zn 0.002 0.000 2.650
Zn 2.486 3.489 0.000
Zn 2.491 0.000 4.853
Zn 2.491 3.489 5.006
Ge 2.486 0.000 0.000
```

Values from the calculation:
SG = No. 10
Energy of formation = -0.4206 eV/atom

A plane-wave DFT calculation with PBE-GGA was carried out for a relaxed TmZnGe crystal.

```
12
Lattice="4.206 0.000 0.000 -2.103 3.642 0.000 0.000 0.000 15.433" Properties=species:S:1:pos:R:3 pbc="T T T"
Tm 0.000 0.000 0.000
Tm 0.000 0.000 3.858
Tm 0.000 0.000 7.716
Tm 0.000 0.000 11.574
Zn 0.000 2.428 2.293
Zn 0.000 2.428 5.424
Zn 2.103 1.214 10.009
Zn 2.103 1.214 13.140
Ge 0.000 2.428 9.458
Ge 0.000 2.428 13.690
Ge 2.103 1.214 1.742
Ge 2.103 1.214 5.974
```

Values from the calculation:
SG = No. 194
Energy of formation = -0.6265 eV/atom

A plane-wave DFT calculation with PBE-GGA was carried out for a relaxed Tm3ZnGe2 crystal.

```
24
Lattice="11.299 0.000 0.000 0.000 4.179 0.000 0.000 0.000 11.339" Properties=species:S:1:pos:R:3 pbc="T T T"
Tm 0.612 1.045 1.401
Tm 1.472 3.134 6.413
Tm 2.328 1.045 9.095
Tm 3.322 3.134 3.426
Tm 4.178 1.045 0.743
Tm 5.037 3.134 7.071
Tm 6.262 1.045 4.268
Tm 7.121 3.134 10.595
Tm 7.977 1.045 7.913
Tm 8.971 3.134 2.244
Tm 9.827 1.045 4.926
Tm 10.686 3.134 9.938
Zn 1.548 1.045 4.131
Zn 4.101 3.134 9.800
Zn 7.198 1.045 1.538
Zn 9.751 3.134 7.208
Ge 0.181 3.134 3.624
Ge 2.077 3.134 0.028
Ge 3.572 1.045 5.698
Ge 5.468 1.045 9.293
Ge 5.831 3.134 2.046
Ge 7.726 3.134 5.641
Ge 9.222 1.045 11.311
Ge 11.118 1.045 7.715
```

Values from the calculation:
SG = No. 62
Energy of formation = -0.6886 eV/atom